Record 1
Below is crystalline CoTc2Se at its relaxed geometry, with properties calculated at the GGA-PBE level.

Properties
total magnetic moment	1.6	Bohr magnetons per cell
electronic total energy	-30.6	eV/cell
formation energy from raw total energies	188	meV/atom
SG	P4mm, No. 99
DOS(E_F)	0.977	states/eV per atom

abc: 2.9443 2.9443 6.4584
angles: 90.00 90.00 90.00
Atoms (fractional coordinates):
Co: 0.0000 0.0000 0.5182
Se: 0.5000 0.5000 0.7342
Tc: 0.0000 0.0000 0.9943
Tc: 0.5000 0.5000 0.2533

Record 2
Below is crystalline CoTc2Se at its relaxed geometry, with properties calculated at the GGA-PBE level.

Properties
total magnetic moment	0.8	Bohr magnetons per cell
electronic total energy	-30.3	eV/cell
formation energy from raw total energies	245	meV/atom
SG	R3m, No. 160
DOS(E_F)	0.858	states/eV per atom

abc: 8.3993 8.3993 8.3993
angles: 19.36 19.36 19.36
Atoms (fractional coordinates):
Co: 0.4964 0.4964 0.4964
Se: 0.7564 0.7564 0.7564
Tc: 0.9991 0.9991 0.9991
Tc: 0.2481 0.2481 0.2481

Record 3
Below is crystalline CoTcSe3 at its relaxed geometry, with properties calculated at the GGA-PBE level.

Properties
total magnetic moment	2.8	Bohr magnetons per cell
electronic total energy	-24.0	eV/cell
formation energy from raw total energies	792	meV/atom
SG	Pm-3m, No. 221
DOS(E_F)	0.970	states/eV per atom

abc: 4.6579 4.6579 4.6579
angles: 90.00 90.00 90.00
Atoms (fractional coordinates):
Co: 0.0000 0.0000 0.0000
Tc: 0.5000 0.5000 0.5000
Se: 0.0000 0.5000 0.0000
Se: 0.0000 0.0000 0.5000
Se: 0.5000 0.0000 0.0000

Record 4
Below is crystalline CoTcSe at its relaxed geometry, with properties calculated at the GGA-PBE level.

Properties
total magnetic moment	0.2	Bohr magnetons per cell
electronic total energy	-40.0	eV/cell
formation energy from raw total energies	313	meV/atom
SG	P-6m2, No. 187
DOS(E_F)	0.968	states/eV per atom

abc: 3.0447 3.0437 11.0103
angles: 90.00 90.00 120.01
Atoms (fractional coordinates):
Co: 0.6110 0.2220 0.0000
Co: 0.2775 0.5550 0.5000
Se: 0.6112 0.2224 0.3348
Se: 0.6112 0.2224 0.6652
Tc: 0.2778 0.5557 0.8265
Tc: 0.2778 0.5557 0.1735

Record 5
Below is crystalline CoTcSe at its relaxed geometry, with properties calculated at the GGA-PBE level.

Properties
total magnetic moment	1.0	Bohr magnetons per cell
electronic total energy	-19.2	eV/cell
formation energy from raw total energies	592	meV/atom
SG	Fmm2, No. 42
DOS(E_F)	1.152	states/eV per atom

abc: 6.8941 6.6368 2.7656
angles: 83.48 73.03 23.49
Atoms (fractional coordinates):
Co: 0.0039 0.0039 0.9961
Se: 0.3404 0.3404 0.6596
Tc: 0.6557 0.6557 0.3443

Record 6
Below is crystalline CoTc2TeSe at its relaxed geometry, with properties calculated at the GGA-PBE level.

Properties
total magnetic moment	5.0	Bohr magnetons per cell
electronic total energy	-26.6	eV/cell
formation energy from raw total energies	1568	meV/atom
SG	P4/mmm, No. 123
DOS(E_F)	0.783	states/eV per atom

abc: 4.9728 4.5631 4.9728
angles: 90.00 90.00 90.00
Atoms (fractional coordinates):
Te: 0.0000 0.0000 0.0000
Co: 0.0000 0.5000 0.0000
Tc: 0.0000 0.0000 0.5000
Tc: 0.5000 0.0000 0.0000
Se: 0.5000 0.5000 0.5000

Record 7
Below is crystalline Th6Co2TcSe3 at its relaxed geometry, with properties calculated at the GGA-PBE level.

Properties
total magnetic moment	0.0	Bohr magnetons per cell
electronic total energy	-90.3	eV/cell
formation energy from raw total energies	-898	meV/atom
SG	C2/m, No. 12
DOS(E_F)	0.531	states/eV per atom

abc: 4.0597 8.6971 9.5778
angles: 108.77 102.24 90.00
Atoms (fractional coordinates):
Th: 0.3412 0.8941 0.6824
Th: 0.6767 0.5595 0.3535
Th: 0.6588 0.1059 0.3176
Th: 0.0094 0.2321 0.0189
Th: 0.9906 0.7679 0.9811
Th: 0.3233 0.4405 0.6465
Co: 0.8306 0.6633 0.6612
Co: 0.1694 0.3367 0.3388
Tc: 0.5000 0.0000 0.0000
Se: 0.5000 0.5000 0.0000
Se: 0.8339 0.1690 0.6679
Se: 0.1661 0.8310 0.3321

Record 8
Below is crystalline Co2Te4Se at its relaxed geometry, with properties calculated at the GGA-PBE level.

Properties
total magnetic moment	0.0	Bohr magnetons per cell
electronic total energy	-61.7	eV/cell
formation energy from raw total energies	-85	meV/atom
SG	Fddd, No. 70
DOS(E_F)	0.573	states/eV per atom

abc: 8.1576 8.1575 7.5350
angles: 117.69 117.71 98.12
Atoms (fractional coordinates):
Te: 0.8359 0.1615 0.2754
Te: 0.4140 0.5885 0.2246
Te: 0.8861 0.5605 0.7246
Te: 0.8385 0.1639 0.7245
Te: 0.4394 0.1140 0.2755
Te: 0.3639 0.1894 0.7754
Te: 0.4115 0.5861 0.7755
Te: 0.8106 0.6360 0.2245
Co: 0.6250 0.3750 0.7500
Co: 0.6250 0.8750 0.2500
Co: 0.6250 0.3750 0.2500
Co: 0.1250 0.3750 0.7500
Se: 0.2500 0.7500 0.5000
Se: 0.0000 0.0000 0.0000